# Pm4BI5, relaxed, DFT PBE-GGA
# Raw total energy, eV per atom: -4.4492
data_Pm4BI5
_cell_length_a 19.357
_cell_length_b 4.164
_cell_length_c 8.881
_cell_angle_alpha 90.00
_cell_angle_beta 102.73
_cell_angle_gamma 90.00
_space_group_name_H-M_alt 'C 1 2/m 1'
_space_group_IT_number 12
_space_group_name_Hall '-C 2y'
loop_
_atom_site_label
_atom_site_type_symbol
_atom_site_fract_x
_atom_site_fract_y
_atom_site_fract_z
Pm1 Pm 0.001 0.000 0.300
Pm2 Pm 0.138 0.500 0.570
B1 B 0.000 0.500 0.500
I1 I 0.000 0.500 0.000
I2 I 0.166 0.000 0.843
I3 I 0.172 0.000 0.324

# Pr2Tm2BI5, relaxed, DFT PBE-GGA
# Raw total energy, eV per atom: -4.3567
data_Pr2Tm2BI5
_cell_length_a 19.829
_cell_length_b 4.114
_cell_length_c 9.000
_cell_angle_alpha 90.00
_cell_angle_beta 102.38
_cell_angle_gamma 90.00
_space_group_name_H-M_alt 'C 1 2/m 1'
_space_group_IT_number 12
_space_group_name_Hall '-C 2y'
loop_
_atom_site_label
_atom_site_type_symbol
_atom_site_fract_x
_atom_site_fract_y
_atom_site_fract_z
Pr1 Pr 0.000 0.000 0.203
Tm1 Tm 0.128 0.500 0.063
B1 B 0.000 0.500 0.000
I1 I 0.000 0.500 0.500
I2 I 0.167 0.000 0.319
I3 I 0.169 0.000 0.844

# Pr2Y2BI5, relaxed, DFT PBE-GGA
# Raw total energy, eV per atom: -4.7899
data_Pr2Y2BI5
_cell_length_a 19.306
_cell_length_b 4.152
_cell_length_c 9.004
_cell_angle_alpha 90.00
_cell_angle_beta 102.50
_cell_angle_gamma 90.00
_space_group_name_H-M_alt 'C 1 2/m 1'
_space_group_IT_number 12
_space_group_name_Hall '-C 2y'
loop_
_atom_site_label
_atom_site_type_symbol
_atom_site_fract_x
_atom_site_fract_y
_atom_site_fract_z
Pr1 Pr 0.001 0.000 0.298
Y1 Y 0.135 0.500 0.567
B1 B 0.000 0.500 0.500
I1 I 0.000 0.500 0.000
I2 I 0.169 0.000 0.828
I3 I 0.174 0.000 0.339